Entry 1:
Compound: La2SiCl
Source: Alexandria via LeMat-Bulk
Functional: PBE-GGA
Structure: relaxed

## Properties
SG	Cmmm
formation energy without anion corrections	-1.052	eV/atom
energy relative to the lowest polymorph listed for this composition	0.206	eV/atom

a b c (Å): 3.5880 3.5880 7.9753
angles (deg): 90.00 90.00 95.49
Last column: nearest neighbours and their distance in Å.
Atoms (fractional coordinates):
La: 0.0000 0.0000 0.2294  4 Si 3.03-3.22, 2 Cl 3.24
La: 0.0000 0.0000 0.7706  4 Si 3.03-3.22, 2 Cl 3.24
Si: 0.5000 0.5000 0.0000  8 La 3.03-3.22
Cl: 0.5000 0.5000 0.5000  8 La 3.24-3.42, 4 Cl 3.59

=====

Entry 2:
Compound: NbTc2Ag
Source: Alexandria via LeMat-Bulk
Functional: PBE-GGA
Structure: relaxed

## Properties
SG	Fm-3m
energy relative to the lowest polymorph listed for this composition	0.000	eV/atom
formation enthalpy at 0 K	0.380	eV/atom

a b c (Å): 4.5044 4.5044 4.5044
angles (deg): 60.00 60.00 60.00
Last column: nearest neighbours and their distance in Å.
Atoms (fractional coordinates):
Nb: 0.0000 0.0000 0.0000  8 Tc 2.76
Tc: 0.2500 0.2500 0.2500  4 Nb 2.76, 4 Ag 2.76
Tc: 0.7500 0.7500 0.7500  4 Nb 2.76, 4 Ag 2.76
Ag: 0.5000 0.5000 0.5000  8 Tc 2.76